(1)
A geometry-optimized Dy2HoTm3Sb2Os structure. Source: OQMD via LeMat-Bulk, functional PBE.

abc: 4.204 14.048 8.109
angles: 90.00 90.00 90.00
Space group Amm2 (No. 38)
Unique sites:
Dy 0.000 0.197 0.000 [4 per cell]
Ho 0.000 0.000 0.408 [2 per cell]
Tm 0.500 0.000 0.037 [2 per cell]
Tm 0.500 0.117 0.686 [4 per cell]
Sb 0.500 0.167 0.303 [4 per cell]
Os 0.000 0.000 0.803 [2 per cell]

Calculated values
DFT total energy: -105.879 eV per cell
crystal system: orthorhombic

(2)
A geometry-optimized Dy2YHo3Sb2Os structure. Source: OQMD via LeMat-Bulk, functional PBE.

abc: 4.206 14.136 8.174
angles: 90.00 90.00 90.00
Space group Amm2 (No. 38)
Unique sites:
Dy 0.000 0.198 0.000 [4 per cell]
Y 0.000 0.000 0.407 [2 per cell]
Ho 0.500 0.000 0.038 [2 per cell]
Ho 0.500 0.118 0.684 [4 per cell]
Sb 0.500 0.167 0.302 [4 per cell]
Os 0.000 0.000 0.803 [2 per cell]

Calculated values
DFT total energy: -109.973 eV per cell
crystal system: orthorhombic

(3)
A geometry-optimized DyHo2Sc3Te2Os structure. Source: OQMD via LeMat-Bulk, functional PBE.

abc: 4.011 13.706 7.939
angles: 90.00 90.00 90.00
Space group Amm2 (No. 38)
Unique sites:
Dy 0.000 0.000 0.000 [2 per cell]
Ho 0.000 0.193 0.418 [4 per cell]
Sc 0.500 0.000 0.379 [2 per cell]
Sc 0.500 0.116 0.727 [4 per cell]
Te 0.500 0.167 0.112 [4 per cell]
Os 0.000 0.000 0.609 [2 per cell]

Calculated values
DFT total energy: -114.351 eV per cell
crystal system: orthorhombic

(4)
A geometry-optimized DyHo2Tm3Te2Os structure. Source: OQMD via LeMat-Bulk, functional PBE.

abc: 4.038 14.157 8.266
angles: 90.00 90.00 90.00
Space group Amm2 (No. 38)
Unique sites:
Dy 0.000 0.000 0.000 [2 per cell]
Ho 0.000 0.193 0.585 [4 per cell]
Tm 0.500 0.000 0.631 [2 per cell]
Tm 0.500 0.118 0.271 [4 per cell]
Te 0.500 0.167 0.891 [4 per cell]
Os 0.000 0.000 0.398 [2 per cell]

Calculated values
DFT total energy: -102.592 eV per cell
crystal system: orthorhombic

(5)
A geometry-optimized Dy2HoTm3Te2Os structure. Source: OQMD via LeMat-Bulk, functional PBE.

abc: 4.044 14.286 8.200
angles: 90.00 90.00 90.00
Space group Amm2 (No. 38)
Unique sites:
Dy 0.000 0.195 0.000 [4 per cell]
Ho 0.000 0.000 0.418 [2 per cell]
Tm 0.500 0.000 0.042 [2 per cell]
Tm 0.500 0.119 0.687 [4 per cell]
Te 0.500 0.167 0.305 [4 per cell]
Os 0.000 0.000 0.802 [2 per cell]

Calculated values
DFT total energy: -102.699 eV per cell
crystal system: orthorhombic

(6)
A geometry-optimized DyHo2P3 structure. Source: OQMD via LeMat-Bulk, functional PBE.

abc: 3.9899 3.9899 9.7888
angles: 90.00 90.00 120.00
Space group P-3m1 (No. 164)
Unique sites:
Dy 0.0000 0.0000 0.0000 [1 per cell]
Ho 0.3333 0.6667 0.3336 [2 per cell]
P 0.0000 0.0000 0.5000 [1 per cell]
P 0.3333 0.6667 0.8327 [2 per cell]

Calculated values
DFT total energy: -39.675 eV per cell
crystal system: trigonal